## TiNbV2Fe (GGA-PBE)

Data for a relaxed structure of TiNbV2Fe.

Cell and atoms, written as POSCAR:
```
TiNbV2Fe
1.0
4.309 0.000 0.000
0.000 4.309 0.000
0.000 0.000 4.409
Ti Nb V Fe
1 1 2 1
Cartesian
0.000 0.000 0.000
2.155 2.155 0.000
0.000 2.155 2.204
2.155 0.000 2.204
0.000 0.000 2.204
```

- ΔE_f: 584 meV per atom
- Calculated density: 6.1 g/cm3
- M_tot: 0.1 Bohr magnetons per cell
- Space-group type: P4/mmm (123)
- Total energy: -41.7 eV for the cell shown